Below is an optimized crystal structure of Li2GaW, with properties calculated at the GGA-PBE level.

Cell: 6.871 6.871 5.128 Å, 90.00 90.00 90.00°
Space group I-42d (No. 122)
Inequivalent atoms, fractional coordinates:
Li: 0.226 0.250 0.125
Ga: 0.000 0.000 0.000
W: 0.000 0.000 0.500



Below is an optimized crystal structure of Na8Al3Ga3Si6Cl2O24, with properties calculated at the GGA-PBE level.

Cell: 12.7329 12.7329 15.5885 Å, 90.00 90.00 120.00°
Space group R3 (No. 146, hexagonal axes)
Inequivalent atoms, fractional coordinates:
Na: 0.0000 0.0000 0.0000
Na: 0.0000 0.0000 0.4990
Na: 0.1000 0.5554 0.3973
Na: 0.1015 0.5559 0.9013
Al: 0.0856 0.6685 0.5926
Ga: 0.0014 0.2520 0.4227
Si: 0.0016 0.2487 0.9228
Si: 0.0820 0.6681 0.0924
Cl: 0.0000 0.0000 0.1750
Cl: 0.0000 0.0000 0.6731
O: 0.0004 0.7085 0.3256
O: 0.0030 0.2782 0.8199
O: 0.0438 0.6711 0.4853
O: 0.0445 0.3760 0.9752
O: 0.0853 0.8954 0.4331
O: 0.0932 0.1942 0.9358
O: 0.1829 0.8035 0.1274
O: 0.1867 0.3874 0.6250

**E_form (uncorrected)**: -2.4939 eV per atom



Below is an optimized crystal structure of Co2Se, with properties calculated at the GGA-PBE level.

Cell: 3.477 3.477 3.477 Å, 90.00 90.00 90.00°
Space group P4/mmm (No. 123)
Inequivalent atoms, fractional coordinates:
Co: 0.000 0.500 0.000
Se: 0.000 0.000 0.500

**E_form (uncorrected)**: 0.3092 eV per atom
**Relative energy among the computed polymorphs**: 440 meV/atom



Below is an optimized crystal structure of TaSeBr2N, with properties calculated at the GGA-PBE level.

Cell: 5.214 5.214 4.964 Å, 90.00 90.00 90.00°
Space group P4/mmm (No. 123)
Inequivalent atoms, fractional coordinates:
Ta: 0.000 0.000 0.000
Se: 0.000 0.000 0.500
Br: 0.000 0.500 0.000
N: 0.500 0.500 0.500

**E_form (uncorrected)**: 0.6790 eV per atom
**Relative energy among the computed polymorphs**: 0 meV/atom



| no. | V (Å³ per cell) | final energy (eV per atom) |
| --- | --- | --- |
| 1 | 242 | -4.215 |
| 2 | 2189 | -6.539 |
| 3 | 42 | -5.590 |
| 4 | 135 | -4.723 |